1.
A relaxed structure of ScHg2Sb2, computed with PBE-GGA.

Cell lengths 7.6852, 7.6852, 4.4431 Å; angles 90.00, 90.00, 90.00 degrees
Sites, in units of the cell vectors:
Sb1 0.6416 0.1416 0.0000
Hg1 0.6679 0.8321 0.5000
Sb2 0.1416 0.3584 0.0000
Sb3 0.3584 0.8584 0.0000
Sb4 0.8584 0.6416 0.0000
Sc1 0.5000 0.5000 0.0000
Sc2 0.0000 0.0000 0.0000
Hg2 0.1679 0.6679 0.5000
Hg3 0.8321 0.3321 0.5000
Hg4 0.3321 0.1679 0.5000

Values from the calculation:
The value obtained for the formation energy (no corrections) is -60 meV/atom. Its density of states at the Fermi level is 0.937 states/eV per atom. As for the magnetic moment: 0.0 μB per formula unit. As for the total energy: -30.96 eV per cell. The calculation puts the volume at 131.2 Å³/f.u.


2.
A relaxed structure of Sc2HgSb, computed with PBE-GGA.

Cell lengths 4.0443, 4.0443, 7.5752 Å; angles 74.52, 74.52, 60.00 degrees
Sites, in units of the cell vectors:
Sc1 0.0787 0.0787 0.7638
Sb1 0.6675 0.6675 0.9976
Sc2 0.2550 0.2550 0.2351
Hg1 0.4988 0.4988 0.5036

Values from the calculation:
The value obtained for the formation energy (no corrections) is -483 meV/atom. Its density of states at the Fermi level is 0.884 states/eV per atom. As for the magnetic moment: 0.0 μB per formula unit. As for the total energy: -19.02 eV per cell. The calculation puts the volume at 102.1 Å³/f.u.


3.
A relaxed structure of ScHg2Sb, computed with PBE-GGA.

Cell lengths 10.1477, 10.1477, 10.1477 Å; angles 19.33, 19.33, 19.33 degrees
Sites, in units of the cell vectors:
Sb1 0.5076 0.5076 0.5076
Sc1 0.2527 0.2527 0.2527
Hg1 0.7450 0.7450 0.7450
Hg2 0.9946 0.9946 0.9946

Values from the calculation:
The value obtained for the formation energy (no corrections) is -159 meV/atom. Its density of states at the Fermi level is 0.862 states/eV per atom. As for the magnetic moment: 0.0 μB per formula unit. As for the total energy: -11.70 eV per cell. The calculation puts the volume at 100.1 Å³/f.u.


4.
A relaxed structure of ScHg2Sb, computed with PBE-GGA.

Cell lengths 3.3796, 3.3796, 8.4858 Å; angles 90.00, 90.00, 90.00 degrees
Sites, in units of the cell vectors:
Hg1 0.0000 0.0000 0.5249
Sc1 0.5000 0.5000 0.7500
Sb1 0.5000 0.5000 0.2500
Hg2 0.0000 0.0000 0.9751

Values from the calculation:
The value obtained for the formation energy (no corrections) is -121 meV/atom. Its density of states at the Fermi level is 0.556 states/eV per atom. As for the magnetic moment: 0.6 μB per formula unit. As for the total energy: -11.54 eV per cell. The calculation puts the volume at 96.9 Å³/f.u.


5.
A relaxed structure of ScHg4Sb, computed with PBE-GGA.

Cell lengths 5.9585, 5.9585, 5.9585 Å; angles 60.00, 60.00, 60.00 degrees
Sites, in units of the cell vectors:
Hg1 0.3749 0.3749 0.8753
Hg2 0.3749 0.8753 0.3749
Hg3 0.8753 0.3749 0.3749
Sb1 0.7500 0.7500 0.7500
Sc1 0.0000 0.0000 0.0000
Hg4 0.3749 0.3749 0.3749

Values from the calculation:
The value obtained for the formation energy (no corrections) is 120 meV/atom. Its density of states at the Fermi level is 0.718 states/eV per atom. As for the magnetic moment: 0.0 μB per formula unit. As for the total energy: -10.94 eV per cell. The calculation puts the volume at 149.6 Å³/f.u.


6.
A relaxed structure of ScHg2Sb, computed with PBE-GGA.

Cell lengths 3.9788, 3.9788, 6.2487 Å; angles 90.00, 90.00, 90.00 degrees
Sites, in units of the cell vectors:
Hg1 0.0000 0.0000 0.0230
Hg2 0.5000 0.5000 0.2190
Sb1 0.0000 0.0000 0.5460
Sc1 0.5000 0.5000 0.7120

Values from the calculation:
The value obtained for the formation energy (no corrections) is -270 meV/atom. Its density of states at the Fermi level is 0.648 states/eV per atom. As for the magnetic moment: 0.0 μB per formula unit. As for the total energy: -12.14 eV per cell. The calculation puts the volume at 98.9 Å³/f.u.


Look up the magnetic moment of the second one.
0.0 μB per formula unit